Record 1
AlSnS2 after structural relaxation, computed with PBE-GGA.

## Properties
The formation energy without anion corrections comes out at -58.98 kJ/mol of atoms. The theoretical density comes out at 3338 kg/m³. As for the total moment: 0.00 μB/f.u.

a b c (Å): 10.0631 3.6102 11.4929
angles (deg): 90.00 90.00 90.00
With the nearest neighbours (Å) after each atom.
Sites, in units of the cell vectors:
S 0.8646 0.2500 0.4454  3 Al 2.31-2.35
S 0.6354 0.7500 0.9454  3 Al 2.31-2.35
S 0.1354 0.7500 0.5546  3 Al 2.31-2.35
S 0.3646 0.2500 0.0546  3 Al 2.31-2.35
S 0.4133 0.2500 0.7191  1 Al 2.20
S 0.0867 0.7500 0.2191  1 Al 2.20
S 0.5867 0.7500 0.2809  1 Al 2.20
S 0.9133 0.2500 0.7809  1 Al 2.20
Sn 0.4280 0.2500 0.3902  2 S 2.72
Sn 0.0720 0.7500 0.8902  2 S 2.72
Sn 0.5720 0.7500 0.6098  2 S 2.72
Sn 0.9280 0.2500 0.1098  2 S 2.72
Al 0.0061 0.2500 0.6077  4 S 2.20-2.35
Al 0.4939 0.7500 0.1077  4 S 2.20-2.35
Al 0.9939 0.7500 0.3923  4 S 2.20-2.35
Al 0.5061 0.2500 0.8923  4 S 2.20-2.35

---

Record 2
AlSnS2 after structural relaxation, computed with PBE-GGA.

## Properties
The formation energy without anion corrections comes out at -70.79 kJ/mol of atoms. The theoretical density comes out at 4060 kg/m³. As for the total moment: 0.00 μB/f.u.

a b c (Å): 8.3865 8.3865 8.3865
angles (deg): 24.01 24.01 24.01
With the nearest neighbours (Å) after each atom.
Sites, in units of the cell vectors:
S 0.8870 0.8870 0.8870  3 Al 2.40
S 0.1130 0.1130 0.1130  3 Al 2.40
Sn 0.0000 0.0000 0.0000  2 S 2.76
Al 0.5000 0.5000 0.5000  6 S 2.40

---

Record 3
AlSn2S2 after structural relaxation, computed with PBE-GGA.

## Properties
The formation energy without anion corrections comes out at 2.86 kJ/mol of atoms. The relative energy among the computed polymorphs is 8 meV per atom. The theoretical density comes out at 4171 kg/m³. As for the total moment: 0.00 μB/f.u.

a b c (Å): 5.5001 5.5001 5.8158
angles (deg): 61.78 61.78 90.00
With the nearest neighbours (Å) after each atom.
Sites, in units of the cell vectors:
S 0.7500 0.2500 0.5000  4 Sn 2.82
S 0.2500 0.7500 0.5000  4 Sn 2.82
Sn 0.3218 0.3218 0.3565  1 Al 2.78, 4 S 2.82, 1 Sn 3.08
Sn 0.6782 0.6782 0.6435  1 Al 2.78, 4 S 2.82, 1 Sn 3.08
Al 0.0000 0.0000 0.0000  2 Sn 2.78

---

Record 4
AlSn2S6 after structural relaxation, computed with PBE-GGA.

## Properties
The formation energy without anion corrections comes out at -30.50 kJ/mol of atoms. The theoretical density comes out at 3776 kg/m³. As for the total moment: 0.00 μB/f.u.

a b c (Å): 5.9910 5.9910 11.1944
angles (deg): 90.00 90.00 90.00
With the nearest neighbours (Å) after each atom.
Sites, in units of the cell vectors:
Al 0.0000 0.0000 0.0000  6 S 2.38-2.51
Al 0.5000 0.5000 0.5000  6 S 2.38-2.51
Sn 0.0000 0.0000 0.3330  6 S 2.53-2.65
Sn 0.5000 0.5000 0.8330  6 S 2.53-2.65
Sn 0.5000 0.5000 0.1670  6 S 2.53-2.65
Sn 0.0000 0.0000 0.6670  6 S 2.53-2.65
S 0.3121 0.3121 0.3425  1 Al 2.38, 2 Sn 2.53-2.65
S 0.6879 0.6879 0.3425  1 Al 2.38, 2 Sn 2.53-2.65
S 0.1879 0.8121 0.8425  1 Al 2.38, 2 Sn 2.53-2.65
S 0.8121 0.1879 0.8425  1 Al 2.38, 2 Sn 2.53-2.65
S 0.1879 0.8121 0.1575  1 Al 2.38, 2 Sn 2.53-2.65
S 0.8121 0.1879 0.1575  1 Al 2.38, 2 Sn 2.53-2.65
S 0.3121 0.3121 0.6575  1 Al 2.38, 2 Sn 2.53-2.65
S 0.6879 0.6879 0.6575  1 Al 2.38, 2 Sn 2.53-2.65
S 0.2960 0.2960 0.0000  1 Al 2.51, 2 Sn 2.55
S 0.7040 0.7040 0.0000  1 Al 2.51, 2 Sn 2.55
S 0.2040 0.7960 0.5000  1 Al 2.51, 2 Sn 2.55
S 0.7960 0.2040 0.5000  1 Al 2.51, 2 Sn 2.55